VASP calculation (PBE) on KCo3S3 after structural relaxation.

POSCAR file:
```
KCo3S3
1.0
3.150 1.819 7.574
-3.150 1.819 7.574
0.000 -3.637 7.574
K Co S
2 6 6
direct
0.167 0.167 0.167 K
0.833 0.833 0.833 K
0.031 0.704 0.369 Co
0.296 0.631 0.969 Co
0.369 0.031 0.704 Co
0.631 0.969 0.296 Co
0.704 0.369 0.031 Co
0.969 0.296 0.631 Co
0.066 0.393 0.724 S
0.276 0.934 0.607 S
0.393 0.724 0.066 S
0.607 0.276 0.934 S
0.724 0.066 0.393 S
0.934 0.607 0.276 S
```



VASP calculation (PBE) on Pm5Co2Au2 after structural relaxation.

Computed properties:
E_form: -0.382 eV/atom

POSCAR file:
```
Pm5Co2Au2
1.0
7.956 -3.738 0.000
7.956 3.738 0.000
0.000 0.000 7.515
Pm Co Au
10 4 4
direct
0.000 0.000 0.000 Pm
0.050 0.693 0.678 Pm
0.193 0.550 0.178 Pm
0.307 0.950 0.678 Pm
0.450 0.807 0.178 Pm
0.500 0.500 0.500 Pm
0.550 0.193 0.822 Pm
0.693 0.050 0.322 Pm
0.807 0.450 0.822 Pm
0.950 0.307 0.322 Pm
0.107 0.893 0.391 Co
0.393 0.607 0.891 Co
0.607 0.393 0.109 Co
0.893 0.107 0.609 Co
0.213 0.213 0.000 Au
0.287 0.287 0.500 Au
0.713 0.713 0.500 Au
0.787 0.787 0.000 Au
```



VASP calculation (PBE) on Sm2Tl3SbSe6 after structural relaxation.

POSCAR file:
```
Sm2Tl3SbSe6
1.0
3.690 -6.395 0.000
3.690 6.395 0.000
-2.460 0.000 7.708
Sm Tl Sb Se
2 3 1 6
direct
0.166 0.834 0.000 Sm
0.834 0.166 0.000 Sm
0.000 0.000 0.500 Tl
0.331 0.669 0.500 Tl
0.669 0.331 0.500 Tl
0.500 0.500 0.000 Sb
0.102 0.431 0.793 Se
0.241 0.241 0.210 Se
0.431 0.102 0.793 Se
0.569 0.898 0.207 Se
0.759 0.759 0.790 Se
0.898 0.569 0.207 Se
```



VASP calculation (PBE) on BeGaIN2 after structural relaxation.

Computed properties:
Energy above the lowest structure with this stoichiometry: 0 meV per atom

POSCAR file:
```
BeGaIN2
1.0
3.761 0.000 0.000
0.000 3.761 0.000
0.000 0.000 5.754
Be Ga I N
1 1 1 2
direct
0.000 0.000 0.000 Be
0.500 0.500 0.500 Ga
0.000 0.000 0.500 I
0.000 0.500 0.000 N
0.500 0.000 0.000 N
```



VASP calculation (PBE) on PuPaGeIr after structural relaxation.

Computed properties:
E_form: -0.649 eV/atom

POSCAR file:
```
PuPaGeIr
1.0
4.076 0.000 0.000
0.000 4.018 0.000
0.000 0.000 10.860
Pu Pa Ge Ir
2 2 2 2
direct
0.000 0.000 0.000 Pu
0.000 0.500 0.500 Pu
0.500 0.000 0.285 Pa
0.500 0.500 0.785 Pa
0.500 0.000 0.571 Ge
0.500 0.500 0.071 Ge
0.000 0.000 0.739 Ir
0.000 0.500 0.239 Ir
```



VASP calculation (PBE) on NaInBi3 after structural relaxation.

Computed properties:
E_form: -0.053 eV/atom
Energy above the lowest structure with this stoichiometry: 19 meV per atom

POSCAR file:
```
NaInBi3
1.0
6.781 0.000 0.000
-0.004 7.031 0.000
-0.002 -0.016 7.228
Na In Bi
2 2 6
direct
0.000 0.000 0.000 Na
0.500 0.499 0.540 Na
0.153 0.500 0.909 In
0.653 0.001 0.631 In
0.033 0.749 0.566 Bi
0.034 0.250 0.565 Bi
0.346 0.998 0.325 Bi
0.532 0.249 0.975 Bi
0.534 0.750 0.974 Bi
0.846 0.499 0.214 Bi
```



VASP calculation (PBE) on YErBeAl after structural relaxation.

Computed properties:
E_form: -0.147 eV/atom

POSCAR file:
```
YErBeAl
1.0
7.019 0.000 0.000
0.000 7.019 0.000
0.000 0.000 7.019
Y Er Be Al
4 4 4 4
direct
0.000 0.000 0.000 Y
0.000 0.500 0.500 Y
0.500 0.000 0.500 Y
0.500 0.500 0.000 Y
0.000 0.000 0.500 Er
0.000 0.500 0.000 Er
0.500 0.000 0.000 Er
0.500 0.500 0.500 Er
0.250 0.250 0.250 Be
0.250 0.750 0.750 Be
0.750 0.250 0.750 Be
0.750 0.750 0.250 Be
0.250 0.250 0.750 Al
0.250 0.750 0.250 Al
0.750 0.250 0.250 Al
0.750 0.750 0.750 Al
```



VASP calculation (PBE) on Pm4Te3H after structural relaxation.

POSCAR file:
```
Pm4Te3H
1.0
9.714 0.000 0.000
0.000 8.450 0.000
0.000 0.000 6.253
Pm Te H
8 6 2
direct
0.000 0.121 0.000 Pm
0.000 0.869 0.502 Pm
0.192 0.271 0.506 Pm
0.308 0.729 0.006 Pm
0.500 0.131 0.002 Pm
0.500 0.879 0.500 Pm
0.692 0.729 0.006 Pm
0.808 0.271 0.506 Pm
0.000 0.761 0.003 Te
0.240 0.357 0.005 Te
0.260 0.643 0.505 Te
0.500 0.239 0.503 Te
0.740 0.643 0.505 Te
0.760 0.357 0.005 Te
0.000 0.135 0.372 H
0.500 0.865 0.872 H
```



Number 1: raw total energy -5.5161 eV per atom. Number 2: raw total energy -5.3285 eV per atom. Number 3: raw total energy -4.5028 eV per atom. Number 4: raw total energy -3.6575 eV per atom. Number 5: raw total energy -9.9760 eV per atom. Number 6: raw total energy -3.1928 eV per atom. Number 7: raw total energy -4.7709 eV per atom. Number 8: raw total energy -4.9112 eV per atom.